Material: U4Si3Mo
Method: DFT, PBE-GGA
State: relaxed

a = 7.986 Å, b = 7.986 Å, c = 7.986 Å
α = 96.30°, β = 96.30°, γ = 141.31°
Sites, in units of the cell vectors:
U: 0.903 0.232 0.135
U: 0.097 0.768 0.865
U: 0.232 0.097 0.329
U: 0.597 0.732 0.329
U: 0.768 0.903 0.671
U: 0.403 0.268 0.671
U: 0.268 0.597 0.865
U: 0.732 0.403 0.135
Si: 0.853 0.647 0.500
Si: 0.147 0.353 0.500
Si: 0.647 0.147 0.794
Si: 0.353 0.853 0.206
Si: 0.750 0.750 0.000
Si: 0.250 0.250 0.000
Mo: 0.750 0.250 0.500
Mo: 0.250 0.750 0.500

Computed properties:
As for the volume: 18.78 Å³ per atom. Its space-group type is I4/mcm (140). Its uncorrected formation energy is -0.312 eV/atom.